Record 1
# RbCd11Cu (GGA-PBE, relaxed)
data_RbCd11Cu
_space_group_name_H-M_alt 'C 1 2/m 1'
_space_group_IT_number 12
_cell_length_a 5.666
_cell_length_b 14.656
_cell_length_c 7.874
_cell_angle_alpha 90.00
_cell_angle_beta 107.84
_cell_angle_gamma 90.00
loop_
_space_group_symop_operation_xyz
'x,y,z'
'-x,-y,-z'
'-x,y,-z'
'x,-y,z'
'x+1/2,y+1/2,z'
'-x+1/2,-y+1/2,-z'
'-x+1/2,y+1/2,-z'
'x+1/2,-y+1/2,z'
loop_
_atom_site_label
_atom_site_fract_x
_atom_site_fract_y
_atom_site_fract_z
Rb1 0.000 0.000 0.000
Cd1 0.000 0.000 0.500
Cd2 0.095 0.393 0.233
Cd3 0.172 0.175 0.359
Cd4 0.250 0.250 0.000
Cu1 0.000 0.500 0.500
# D(E_F)   9.949 states/eV/cell
# Formation energy from the elements   0.00 eV per atom

=====

Record 2
# RbCd2Cu (GGA-PBE, relaxed)
data_RbCd2Cu
_space_group_name_H-M_alt 'I 41/a m d'
_space_group_IT_number 141
_cell_length_a 5.988
_cell_length_b 5.988
_cell_length_c 16.883
_cell_angle_alpha 90.00
_cell_angle_beta 90.00
_cell_angle_gamma 90.00
loop_
_space_group_symop_operation_xyz
'x,y,z'
'-x,-y,-z'
'-y+1/4,x+3/4,z+1/4'
'y+1/4,-x+3/4,-z+1/4'
'-x+1/2,-y,z+1/2'
'x+1/2,y,-z+1/2'
'y+1/4,-x+1/4,z+3/4'
'-y+1/4,x+1/4,-z+3/4'
'x,-y,-z'
'-x,y,z'
'-y+1/4,-x+1/4,-z+3/4'
'y+1/4,x+1/4,z+3/4'
'-x+1/2,y,-z+1/2'
'x+1/2,-y,z+1/2'
'y+1/4,x+3/4,-z+1/4'
'-y+1/4,-x+3/4,z+1/4'
'x+1/2,y+1/2,z+1/2'
'-x+1/2,-y+1/2,-z+1/2'
'-y+3/4,x+1/4,z+3/4'
'y+3/4,-x+1/4,-z+3/4'
'-x,-y+1/2,z'
'x,y+1/2,-z'
'y+3/4,-x+3/4,z+1/4'
'-y+3/4,x+3/4,-z+1/4'
'x+1/2,-y+1/2,-z+1/2'
'-x+1/2,y+1/2,z+1/2'
'-y+3/4,-x+3/4,-z+1/4'
'y+3/4,x+3/4,z+1/4'
'-x,y+1/2,-z'
'x,-y+1/2,z'
'y+3/4,x+1/4,-z+3/4'
'-y+3/4,-x+1/4,z+3/4'
loop_
_atom_site_label
_atom_site_fract_x
_atom_site_fract_y
_atom_site_fract_z
Rb1 0.000 0.250 0.375
Cd1 0.000 0.000 0.000
Cu1 0.000 0.250 0.875
# D(E_F)   1.086 states/eV/cell
# Formation energy from the elements   0.16 eV per atom
# Excess energy over the best structure of this formula in the dataset   114.9 meV/atom

=====

Record 3
# RbCdCu3 (GGA-PBE, relaxed)
data_RbCdCu3
_space_group_name_H-M_alt 'P m -3 m'
_space_group_IT_number 221
_space_group_name_Hall '-P 4 2 3'
_cell_length_a 5.432
_cell_length_b 5.432
_cell_length_c 5.432
_cell_angle_alpha 90.00
_cell_angle_beta 90.00
_cell_angle_gamma 90.00
loop_
_atom_site_label
_atom_site_fract_x
_atom_site_fract_y
_atom_site_fract_z
Rb1 0.000 0.000 0.000
Cd1 0.500 0.500 0.500
Cu1 0.000 0.000 0.500
# D(E_F)   6.308 states/eV/cell
# Formation energy from the elements   1.63 eV per atom
# Excess energy over the best structure of this formula in the dataset   1064.0 meV/atom

=====

Record 4
# RbCd2Cu (GGA-PBE, relaxed)
data_RbCd2Cu
_space_group_name_H-M_alt 'R -3 m'
_space_group_IT_number 166
_space_group_name_Hall '-R 3 2"'
_cell_length_a 4.7497
_cell_length_b 4.7497
_cell_length_c 19.5623
_cell_angle_alpha 90.00
_cell_angle_beta 90.00
_cell_angle_gamma 120.00
loop_
_atom_site_label
_atom_site_fract_x
_atom_site_fract_y
_atom_site_fract_z
Rb1 0.0000 0.0000 0.0000
Cd1 0.0000 0.0000 0.1909
Cu1 0.0000 0.0000 0.5000
# D(E_F)   6.952 states/eV/cell
# Formation energy from the elements   0.05 eV per atom
# Excess energy over the best structure of this formula in the dataset   0.0 meV/atom

=====

Record 5
# RbCd2Cu (GGA-PBE, relaxed)
data_RbCd2Cu
_space_group_name_H-M_alt 'F m -3 m'
_space_group_IT_number 225
_space_group_name_Hall '-F 4 2 3'
_cell_length_a 7.701
_cell_length_b 7.701
_cell_length_c 7.701
_cell_angle_alpha 90.00
_cell_angle_beta 90.00
_cell_angle_gamma 90.00
loop_
_atom_site_label
_atom_site_fract_x
_atom_site_fract_y
_atom_site_fract_z
Rb1 0.000 0.000 0.000
Cd1 0.250 0.250 0.250
Cu1 0.000 0.000 0.500
# D(E_F)   5.353 states/eV/cell
# Formation energy from the elements   0.36 eV per atom
# Excess energy over the best structure of this formula in the dataset   313.5 meV/atom

=====

Record 6
# Rb2CdCuRe (GGA-PBE, relaxed)
data_Rb2CdCuRe
_space_group_name_H-M_alt 'P 4/m m m'
_space_group_IT_number 123
_space_group_name_Hall '-P 4 2'
_cell_length_a 6.822
_cell_length_b 6.822
_cell_length_c 4.913
_cell_angle_alpha 90.00
_cell_angle_beta 90.00
_cell_angle_gamma 90.00
loop_
_atom_site_label
_atom_site_fract_x
_atom_site_fract_y
_atom_site_fract_z
Rb1 0.000 0.500 0.000
Cd1 0.000 0.000 0.000
Cu1 0.000 0.000 0.500
Re1 0.500 0.500 0.500
# D(E_F)   6.059 states/eV/cell
# Formation energy from the elements   1.55 eV per atom

=====

| no. | mass density (g/cm3) |
| --- | --- |
| 1 | 7.4 |
| 2 | 4.1 |
| 3 | 4.0 |
| 4 | 4.9 |
| 5 | 5.4 |
| 6 | 3.9 |